[1]
Density functional theory data (PBE-GGA) for an optimized crystal structure of CsZr2F2.

Unit cell a=8.637 b=8.637 c=3.332 alpha=90.00 beta=90.00 gamma=90.00
Each line ends with the local moment (μB).
Fractional coordinates of all 10 atoms:
Cs: 0.000 0.000 0.000  0.14
Cs: 0.500 0.500 0.000  0.14
Zr: 0.111 0.611 0.500  1.04
Zr: 0.611 0.889 0.500  1.03
Zr: 0.889 0.389 0.500  1.04
Zr: 0.389 0.111 0.500  1.03
F: 0.402 0.902 0.000  0.05
F: 0.902 0.598 0.000  0.05
F: 0.598 0.098 0.000  0.05
F: 0.098 0.402 0.000  0.05

Results
- Calculated total energy: -48.36 eV per cell
- SG: P4/mbm
- Energy above the most stable polymorph in this dataset: 3.35 eV per formula unit

[2]
Density functional theory data (PBE-GGA) for an optimized crystal structure of Cs2ZrF7.

Unit cell a=6.763 b=6.763 c=6.763 alpha=60.00 beta=60.00 gamma=60.00
Each line ends with the local moment (μB).
Fractional coordinates of all 10 atoms:
Cs: 0.250 0.250 0.250  0.00
Cs: 0.750 0.750 0.750  0.00
Zr: 0.000 0.000 0.000  0.00
F: 0.500 0.500 0.500  0.71
F: 0.213 0.787 0.787  0.03
F: 0.213 0.787 0.213  0.03
F: 0.787 0.213 0.787  0.03
F: 0.787 0.787 0.213  0.03
F: 0.213 0.213 0.787  0.03
F: 0.787 0.213 0.213  0.03

Results
- Calculated total energy: -52.62 eV per cell
- SG: Fm-3m

[3]
Density functional theory data (PBE-GGA) for an optimized crystal structure of Cs3ZrF.

Unit cell a=5.914 b=5.914 c=5.914 alpha=90.00 beta=90.00 gamma=90.00
Each line ends with the local moment (μB).
Fractional coordinates of all 5 atoms:
Cs: 0.000 0.500 0.000  0.05
Cs: 0.000 0.000 0.500  0.05
Cs: 0.500 0.000 0.000  0.04
Zr: 0.500 0.500 0.500  1.77
F: 0.000 0.000 0.000  0.01

Results
- Calculated total energy: -14.12 eV per cell
- SG: Pm-3m
- Energy above the most stable polymorph in this dataset: 0.00 eV per formula unit

[4]
Density functional theory data (PBE-GGA) for an optimized crystal structure of Cs2ZrF.

Unit cell a=4.756 b=7.731 c=11.965 alpha=106.24 beta=90.01 gamma=107.64
Each line ends with the local moment (μB).
Fractional coordinates of all 8 atoms:
Cs: 0.052 0.094 0.178  0.00
Cs: 0.948 0.906 0.822  0.00
Cs: 0.323 0.648 0.333  0.00
Cs: 0.677 0.352 0.667  0.00
Zr: 0.266 0.533 0.959  0.18
Zr: 0.734 0.467 0.041  0.18
F: 0.299 0.601 0.795  0.00
F: 0.701 0.399 0.205  0.00

Results
- Calculated total energy: -30.56 eV per cell
- SG: P-1
- Energy above the most stable polymorph in this dataset: 0.08 eV per formula unit

[5]
Density functional theory data (PBE-GGA) for an optimized crystal structure of CsZr2F2.

Unit cell a=3.999 b=3.999 c=7.913 alpha=75.37 beta=75.37 gamma=90.00
Fractional coordinates of all 5 atoms:
Cs: 0.000 0.000 0.000
Zr: 0.750 0.250 0.500
Zr: 0.250 0.750 0.500
F: 0.361 0.361 0.279
F: 0.639 0.639 0.721

Results
- Calculated total energy: -27.53 eV per cell
- SG: I4/mmm
- Energy above the most stable polymorph in this dataset: 0.00 eV per formula unit

[6]
Density functional theory data (PBE-GGA) for an optimized crystal structure of Cs2ZrF.

Unit cell a=4.961 b=8.197 c=11.263 alpha=103.99 beta=94.38 gamma=89.90
Each line ends with the local moment (μB).
Fractional coordinates of all 8 atoms:
Cs: 0.207 0.799 0.152  0.00
Cs: 0.793 0.201 0.848  0.00
Cs: 0.279 0.632 0.659  0.00
Cs: 0.721 0.368 0.341  0.00
Zr: 0.249 0.071 0.499  0.06
Zr: 0.751 0.929 0.501  0.06
F: 0.242 0.310 0.459  0.00
F: 0.758 0.690 0.541  0.00

Results
- Calculated total energy: -30.72 eV per cell
- SG: P-1
- Energy above the most stable polymorph in this dataset: 0.00 eV per formula unit

[7]
Density functional theory data (PBE-GGA) for an optimized crystal structure of Cs2ZrF.

Unit cell a=8.068 b=8.068 c=8.068 alpha=114.76 beta=114.76 gamma=99.34
Each line ends with the local moment (μB).
Fractional coordinates of all 8 atoms:
Cs: 0.375 0.754 0.879  0.02
Cs: 0.875 0.496 0.121  0.02
Cs: 0.246 0.125 0.621  0.02
Cs: 0.504 0.625 0.379  0.02
Zr: 0.000 0.000 0.000  1.66
Zr: 0.750 0.250 0.500  1.66
F: 0.500 0.500 0.000  0.00
F: 0.250 0.750 0.500  0.00

Results
- Calculated total energy: -25.76 eV per cell
- SG: I-42d
- Energy above the most stable polymorph in this dataset: 2.48 eV per formula unit

[8]
Density functional theory data (PBE-GGA) for an optimized crystal structure of Cs2ZrF.

Unit cell a=6.138 b=6.138 c=6.138 alpha=60.00 beta=60.00 gamma=60.00
Each line ends with the local moment (μB).
Fractional coordinates of all 4 atoms:
Cs: 0.250 0.250 0.250  0.09
Cs: 0.750 0.750 0.750  0.09
Zr: 0.500 0.500 0.500  2.09
F: 0.000 0.000 0.000  0.04

Results
- Calculated total energy: -10.98 eV per cell
- SG: Fm-3m
- Energy above the most stable polymorph in this dataset: 4.38 eV per formula unit

[9]
Density functional theory data (PBE-GGA) for an optimized crystal structure of CsZrF6.

Unit cell a=5.299 b=5.299 c=6.805 alpha=94.64 beta=94.64 gamma=111.44
Each line ends with the local moment (μB).
Fractional coordinates of all 8 atoms:
Cs: 0.000 0.000 0.000  0.01
Zr: 0.500 0.500 0.500  -0.03
F: 0.569 0.886 0.634  0.20
F: 0.886 0.569 0.634  0.20
F: 0.114 0.431 0.366  0.20
F: 0.431 0.114 0.366  0.20
F: 0.368 0.368 0.758  0.08
F: 0.632 0.632 0.242  0.08

Results
- Calculated total energy: -44.14 eV per cell
- SG: C2/m

[10]
Density functional theory data (PBE-GGA) for an optimized crystal structure of Cs2ZrF.

Unit cell a=7.680 b=7.553 c=7.776 alpha=64.06 beta=70.05 gamma=73.07
Each line ends with the local moment (μB).
Fractional coordinates of all 8 atoms:
Cs: 0.588 0.310 0.575  0.02
Cs: 0.194 0.858 0.420  0.01
Cs: 0.121 0.472 0.123  0.01
Cs: 0.686 0.691 0.839  0.02
Zr: 0.035 0.162 0.820  0.40
Zr: 0.749 0.061 0.111  0.78
F: 0.109 0.442 0.750  0.01
F: 0.999 0.203 0.546  0.01

Results
- Calculated total energy: -29.23 eV per cell
- SG: P1
- Energy above the most stable polymorph in this dataset: 0.75 eV per formula unit

[11]
Density functional theory data (PBE-GGA) for an optimized crystal structure of CsZr2F.

Unit cell a=4.967 b=4.967 c=4.967 alpha=60.00 beta=60.00 gamma=60.00
Fractional coordinates of all 4 atoms:
Cs: 0.500 0.500 0.500
Zr: 0.250 0.250 0.250
Zr: 0.750 0.750 0.750
F: 0.000 0.000 0.000

Results
- Calculated total energy: -16.64 eV per cell
- SG: Fm-3m

[12]
Density functional theory data (PBE-GGA) for an optimized crystal structure of CsGa3Fe.

Unit cell a=5.592 b=5.592 c=5.592 alpha=90.00 beta=90.00 gamma=90.00
Each line ends with the local moment (μB).
Fractional coordinates of all 5 atoms:
Cs: 0.000 0.000 0.000  -0.03
Fe: 0.500 0.500 0.500  3.29
Ga: 0.000 0.500 0.000  -0.04
Ga: 0.000 0.000 0.500  -0.02
Ga: 0.500 0.000 0.000  -0.05

Results
- Calculated total energy: -8.95 eV per cell
- E_form: 1.8896 eV per atom
- SG: Pm-3m
- Energy above the most stable polymorph in this dataset: 9.66 eV per formula unit

Number 1: size of the total moment 0.8638 μB per atom. Number 2: size of the total moment 0.1000 μB per atom. Number 3: size of the total moment 0.8000 μB per atom. Number 4: size of the total moment 0.0726 μB per atom. Number 5: size of the total moment 0.0000 μB per atom. Number 6: size of the total moment 0.0249 μB per atom. Number 7: size of the total moment 0.7715 μB per atom. Number 8: size of the total moment 1.1225 μB per atom. Number 9: size of the total moment 0.1268 μB per atom. Number 10: size of the total moment 0.2874 μB per atom. Number 11: size of the total moment 0.0000 μB per atom. Number 12: size of the total moment 0.6188 μB per atom.